VASP calculation (PBE) on crystalline Nd5Sm12Tl2 at its relaxed geometry.

## Properties
energy: -85.1 eV per cell
energy of formation from the pure elements: 0.12 eV per formula unit
crystal system: monoclinic

CIF file:
```
data_Nd5Sm12Tl2
_space_group_name_H-M_alt 'P 1'
_space_group_IT_number 1
_cell_length_a 9.477
_cell_length_b 12.280
_cell_length_c 8.599
_cell_angle_alpha 131.88
_cell_angle_beta 90.00
_cell_angle_gamma 112.70
loop_
_space_group_symop_operation_xyz
'x,y,z'
loop_
_atom_site_label
_atom_site_fract_x
_atom_site_fract_y
_atom_site_fract_z
Nd1 0.312 0.623 0.630
Nd2 0.233 0.466 0.884
Nd3 0.000 0.000 0.500
Nd4 0.767 0.534 0.116
Nd5 0.688 0.377 0.370
Sm1 0.080 0.160 0.276
Sm2 0.037 0.706 0.942
Sm3 0.669 0.706 0.942
Sm4 0.182 0.751 0.413
Sm5 0.569 0.751 0.413
Sm6 0.554 0.109 0.789
Sm7 0.446 0.891 0.211
Sm8 0.818 0.249 0.587
Sm9 0.431 0.249 0.587
Sm10 0.963 0.294 0.058
Sm11 0.331 0.294 0.058
Sm12 0.920 0.840 0.724
Tl1 0.685 0.000 0.000
Tl2 0.315 0.000 0.000
```


VASP calculation (PBE) on crystalline HfNbRu2 at its relaxed geometry.

## Properties
energy: -40.5 eV per cell
energy of formation from the pure elements: -1.97 eV per formula unit
crystal system: tetragonal

CIF file:
```
data_HfNbRu2
_space_group_name_H-M_alt 'P 1'
_space_group_IT_number 1
_cell_length_a 3.166
_cell_length_b 3.166
_cell_length_c 6.594
_cell_angle_alpha 90.00
_cell_angle_beta 90.00
_cell_angle_gamma 90.00
loop_
_space_group_symop_operation_xyz
'x,y,z'
loop_
_atom_site_label
_atom_site_fract_x
_atom_site_fract_y
_atom_site_fract_z
Ru1 0.000 0.000 0.750
Ru2 0.000 0.000 0.250
Nb1 0.500 0.500 0.500
Hf1 0.500 0.500 0.000
```


VASP calculation (PBE) on crystalline CrPbS2 at its relaxed geometry.

## Properties
energy: -46.1 eV per cell
crystal system: orthorhombic
E_form (uncorrected): -0.3645 eV/atom

CIF file:
```
data_CrPbS2
_space_group_name_H-M_alt 'P 1'
_space_group_IT_number 1
_cell_length_a 10.333
_cell_length_b 10.333
_cell_length_c 4.678
_cell_angle_alpha 90.00
_cell_angle_beta 90.00
_cell_angle_gamma 157.37
loop_
_space_group_symop_operation_xyz
'x,y,z'
loop_
_atom_site_label
_atom_site_fract_x
_atom_site_fract_y
_atom_site_fract_z
Pb1 0.329 0.671 0.250
Pb2 0.671 0.329 0.750
Cr1 0.064 0.936 0.250
Cr2 0.936 0.064 0.750
S1 0.182 0.818 0.250
S2 0.818 0.182 0.750
S3 0.946 0.054 0.250
S4 0.054 0.946 0.750
```


Q: Which of these has the lowest energy?
A: Nd5Sm12Tl2


Q: Look up the energy of the third one.
A: -46.1 eV per cell